1.
Material: Zr4GaAg
Method: DFT, GGA-PBE
State: optimized geometry

abc: 5.5882 5.7827 7.9524
angles: 90.00 90.00 90.00
Atoms (fractional coordinates):
Zr: 0.0000 0.2152 0.1248
Zr: 0.0000 0.7848 0.8752
Zr: 0.2500 0.2508 0.7500
Zr: 0.2500 0.7492 0.2500
Zr: 0.5000 0.2152 0.3752
Zr: 0.5000 0.7848 0.6248
Zr: 0.7500 0.2508 0.7500
Zr: 0.7500 0.7492 0.2500
Ga: 0.0000 0.0000 0.5000
Ga: 0.5000 0.0000 0.0000
Ag: 0.0000 0.5000 0.5000
Ag: 0.5000 0.5000 0.0000

## Properties
VASP energy in eV/atom: -6.754
Calculated formation energy in meV/atom: -76
SG: Pmna (53)

=====

2.
Material: YAsBr
Method: DFT, GGA-PBE
State: optimized geometry

abc: 6.9492 6.9492 6.9492
angles: 90.00 90.00 90.00
Atoms (fractional coordinates):
Y: 0.0000 0.0000 0.0000
Y: 0.0000 0.5000 0.5000
Y: 0.5000 0.0000 0.5000
Y: 0.5000 0.5000 0.0000
As: 0.2500 0.2500 0.7500
As: 0.2500 0.7500 0.2500
As: 0.7500 0.2500 0.2500
As: 0.7500 0.7500 0.7500
Br: 0.2500 0.2500 0.2500
Br: 0.2500 0.7500 0.7500
Br: 0.7500 0.2500 0.7500
Br: 0.7500 0.7500 0.2500

## Properties
VASP energy in eV/atom: -5.127
Offset from the most stable computed form in eV per atom: 0.512
SG: F-43m (216)
Raw formation energy in eV per formula unit: -2.6

=====

3.
Material: Bi3SI
Method: DFT, GGA-PBE
State: optimized geometry

abc: 5.9057 5.9057 5.9057
angles: 90.00 90.00 90.00
Atoms (fractional coordinates):
Bi: 0.0000 0.0000 0.5000
Bi: 0.0000 0.5000 0.0000
Bi: 0.5000 0.0000 0.0000
S: 0.5000 0.5000 0.5000
I: 0.0000 0.0000 0.0000

## Properties
VASP energy in eV/atom: -2.182
Offset from the most stable computed form in eV per atom: 0.881
SG: Pm-3m (221)
Raw formation energy in eV per formula unit: 6.4

=====

4.
Material: Ba2ZrSF
Method: DFT, GGA-PBE
State: optimized geometry

abc: 6.3076 6.3076 4.8611
angles: 90.00 90.00 90.00
Atoms (fractional coordinates):
Ba: 0.0000 0.5000 0.0000
Ba: 0.5000 0.0000 0.0000
Zr: 0.0000 0.0000 0.0000
S: 0.0000 0.0000 0.5000
F: 0.5000 0.5000 0.5000

## Properties
VASP energy in eV/atom: -4.440
Offset from the most stable computed form in eV per atom: 0.172
SG: P4/mmm (123)
Raw formation energy in eV per formula unit: -3.8

=====

Number 1: D(E_F) 12.80 states/eV per cell. Number 2: D(E_F) 18.50 states/eV per cell. Number 3: D(E_F) 10.68 states/eV per cell. Number 4: D(E_F) 4.55 states/eV per cell.